<one>
Below is a relaxed structure of TaOs2W, with properties calculated at the PBE level.

Summary:
Calculated volume, Å³ per cell: 62.96
Symmetry: Pmmm
Size of the total moment, μB/f.u.: 0.00

Lattice parameters (Å, degrees): 2.8701 3.8436 5.7073 90.00 90.00 90.00
Closest atoms and distances in Å follow each position.
Atoms (fractional coordinates):
1 Ta 0.0000 0.0000 0.0000  8 Os 2.81, 2 W 2.85, 2 Ta 2.87
2 Os 0.5000 0.5000 0.2559  4 W 2.77, 4 Os 2.79-2.92, 4 Ta 2.81
3 Os 0.5000 0.5000 0.7441  4 W 2.77, 4 Os 2.79-2.92, 4 Ta 2.81
4 W 0.0000 0.0000 0.5000  8 Os 2.77, 2 Ta 2.85, 2 W 2.87


<two>
Below is a relaxed structure of TaOs2W, with properties calculated at the PBE level.

Summary:
Calculated volume, Å³ per cell: 63.50
Symmetry: Pm
Size of the total moment, μB/f.u.: 0.00

Lattice parameters (Å, degrees): 2.7959 4.4617 5.1887 90.00 101.15 90.00
Closest atoms and distances in Å follow each position.
Atoms (fractional coordinates):
1 Ta 0.0000 0.0000 0.0000  4 Os 2.62-2.72, 2 Ta 2.80, 2 W 2.80
2 Os 0.2508 0.5000 0.7978  2 Ta 2.62, 2 W 2.68-2.73, 2 Os 2.80
3 Os 0.5381 0.0000 0.4872  2 W 2.63, 2 Ta 2.68-2.72, 2 Os 2.80
4 W 0.8123 0.5000 0.2897  4 Os 2.63-2.73, 2 W 2.80, 2 Ta 2.80


<three>
Below is a relaxed structure of TaOs2W, with properties calculated at the PBE level.

Summary:
Calculated volume, Å³ per cell: 379.83
Symmetry: I-42d
Size of the total moment, μB/f.u.: 0.00

Lattice parameters (Å, degrees): 5.7686 5.7686 11.4141 90.00 90.00 90.00
Closest atoms and distances in Å follow each position.
Atoms (fractional coordinates):
1 Ta 0.0000 0.0000 0.0000  4 Os 2.53
2 Ta 0.0000 0.5000 0.2500  4 Os 2.53
3 Ta 0.5000 0.0000 0.7500  4 Os 2.53
4 Ta 0.5000 0.5000 0.5000  4 Os 2.53
5 Os 0.2390 0.2500 0.6250  2 W 2.45, 2 Ta 2.53
6 Os 0.2500 0.7390 0.8750  2 W 2.45, 2 Ta 2.53
7 Os 0.2500 0.7610 0.3750  2 W 2.45, 2 Ta 2.53
8 Os 0.2610 0.2500 0.1250  2 W 2.45, 2 Ta 2.53
9 Os 0.7390 0.7500 0.1250  2 W 2.45, 2 Ta 2.53
10 Os 0.7500 0.2390 0.3750  2 W 2.45, 2 Ta 2.53
11 Os 0.7500 0.2610 0.8750  2 W 2.45, 2 Ta 2.53
12 Os 0.7610 0.7500 0.6250  2 W 2.45, 2 Ta 2.53
13 W 0.0000 0.0000 0.5000  4 Os 2.45
14 W 0.0000 0.5000 0.7500  4 Os 2.45
15 W 0.5000 0.0000 0.2500  4 Os 2.45
16 W 0.5000 0.5000 0.0000  4 Os 2.45


<four>
Below is a relaxed structure of TaOs2W, with properties calculated at the PBE level.

Summary:
Calculated volume, Å³ per cell: 126.18
Symmetry: C2/m
Size of the total moment, μB/f.u.: 0.00

Lattice parameters (Å, degrees): 5.5372 8.7750 2.7779 90.00 110.80 90.00
Closest atoms and distances in Å follow each position.
Atoms (fractional coordinates):
1 Ta 0.0000 0.0000 0.0000  4 Os 2.70, 2 W 2.77, 2 Ta 2.78
2 Ta 0.5000 0.5000 0.0000  4 Os 2.70, 2 W 2.77, 2 Ta 2.78
3 Os 0.2500 0.2500 0.5000  2 Ta 2.70, 2 W 2.70, 4 Os 2.77-2.78
4 Os 0.2500 0.7500 0.5000  2 Ta 2.70, 2 W 2.70, 4 Os 2.77-2.78
5 Os 0.7500 0.2500 0.5000  2 Ta 2.70, 2 W 2.70, 4 Os 2.77-2.78
6 Os 0.7500 0.7500 0.5000  2 Ta 2.70, 2 W 2.70, 4 Os 2.77-2.78
7 W 0.0000 0.5000 0.0000  4 Os 2.70, 2 Ta 2.77, 2 W 2.78
8 W 0.5000 0.0000 0.0000  4 Os 2.70, 2 Ta 2.77, 2 W 2.78


Energy above the most stable structure, in meV per atom: <one> 0; <two> 103; <three> 1409; <four> 165


<one>
Below is a relaxed structure of TaOsW, with properties calculated at the PBE level.

Summary:
Calculated volume, Å³ per cell: 103.40
Symmetry: Fmmm
Size of the total moment, μB/f.u.: 0.00

Lattice parameters (Å, degrees): 6.4542 5.6254 4.7857 76.15 57.80 46.05
Closest atoms and distances in Å follow each position.
Atoms (fractional coordinates):
1 Ta 0.1659 0.8341 0.1659  3 Ta 2.69-2.88, 4 W 2.89, 2 Os 2.98
2 Ta 0.8341 0.1659 0.8341  3 Ta 2.69-2.88, 4 W 2.89, 2 Os 2.98
3 Os 0.3761 0.3761 0.6239  1 Os 2.49, 4 W 2.71
4 Os 0.6239 0.6239 0.3761  1 Os 2.49, 4 W 2.71
5 W 0.2500 0.2500 0.2500  2 W 2.54, 4 Os 2.71
6 W 0.7500 0.7500 0.7500  2 W 2.54, 4 Os 2.71


<two>
Below is a relaxed structure of TaOsW, with properties calculated at the PBE level.

Summary:
Calculated volume, Å³ per cell: 194.35
Symmetry: Fmm2
Size of the total moment, μB/f.u.: 0.00

Lattice parameters (Å, degrees): 3.1778 4.5981 13.3008 90.00 90.00 90.00
Closest atoms and distances in Å follow each position.
Atoms (fractional coordinates):
1 Ta 0.0000 0.0000 0.0000  2 Os 2.72, 2 W 2.78, 4 Ta 2.79
2 Ta 0.0000 0.5000 0.5000  2 Os 2.72, 2 W 2.78, 4 Ta 2.79
3 Ta 0.5000 0.0000 0.5000  2 Os 2.72, 2 W 2.78, 4 Ta 2.79
4 Ta 0.5000 0.5000 0.0000  2 Os 2.72, 2 W 2.78, 4 Ta 2.79
5 Os 0.0000 0.0000 0.3336  2 W 2.68, 2 Ta 2.72, 4 Os 2.79
6 Os 0.0000 0.5000 0.8336  2 W 2.68, 2 Ta 2.72, 4 Os 2.79
7 Os 0.5000 0.0000 0.8336  2 W 2.68, 2 Ta 2.72, 4 Os 2.79
8 Os 0.5000 0.5000 0.3336  2 W 2.68, 2 Ta 2.72, 4 Os 2.79
9 W 0.0000 0.0000 0.6715  2 Os 2.68, 2 Ta 2.78, 4 W 2.79
10 W 0.0000 0.5000 0.1715  2 Os 2.68, 2 Ta 2.78, 4 W 2.79
11 W 0.5000 0.0000 0.1715  2 Os 2.68, 2 Ta 2.78, 4 W 2.79
12 W 0.5000 0.5000 0.6715  2 Os 2.68, 2 Ta 2.78, 4 W 2.79


Energy above the most stable structure, in meV per atom: <one> 360; <two> 0


<one>
Below is a relaxed structure of TaOsW, with properties calculated at the PBE level.

Summary:
Calculated volume, Å³ per cell: 48.44
Symmetry: P3m1
Size of the total moment, μB/f.u.: 0.00

Lattice parameters (Å, degrees): 4.4637 4.4637 2.8075 90.00 90.00 120.00
Closest atoms and distances in Å follow each position.
Atoms (fractional coordinates):
1 Ta 0.0000 0.0000 0.0000  3 W 2.73, 3 Os 2.74, 2 Ta 2.81
2 Os 0.3333 0.6667 0.6684  3 Ta 2.74, 3 W 2.75, 2 Os 2.81
3 W 0.6667 0.3333 0.3241  3 Ta 2.73, 3 Os 2.75, 2 W 2.81


<two>
Below is a relaxed structure of TaOsW, with properties calculated at the PBE level.

Summary:
Calculated volume, Å³ per cell: 97.42
Symmetry: Cm
Size of the total moment, μB/f.u.: 0.00

Lattice parameters (Å, degrees): 10.0665 3.1935 3.1933 90.00 108.39 90.00
Closest atoms and distances in Å follow each position.
Atoms (fractional coordinates):
1 Ta 0.0000 0.0000 0.0000  4 W 2.75-2.76, 4 Os 2.76
2 Ta 0.5000 0.5000 0.0000  4 W 2.75-2.76, 4 Os 2.76
3 Os 0.3338 0.0000 0.3336  4 Ta 2.76, 4 W 2.78
4 Os 0.8338 0.5000 0.3336  4 Ta 2.76, 4 W 2.78
5 W 0.1645 0.5000 0.6658  4 Ta 2.75-2.76, 4 Os 2.78
6 W 0.6645 0.0000 0.6658  4 Ta 2.75-2.76, 4 Os 2.78


Energy above the most stable structure, in meV per atom: <one> 37; <two> 0


<one>
Below is a relaxed structure of Ta3Os2W, with properties calculated at the PBE level.

Summary:
Calculated volume, Å³ per cell: 197.22
Symmetry: Cmmm
Size of the total moment, μB/f.u.: 0.00

Lattice parameters (Å, degrees): 7.1536 7.1536 6.4208 90.00 90.00 143.11
Closest atoms and distances in Å follow each position.
Atoms (fractional coordinates):
1 Ta 0.0000 0.0000 0.2474  2 W 2.75, 6 Os 2.77-2.78
2 Ta 0.0000 0.0000 0.7526  2 W 2.75, 6 Os 2.77-2.78
3 Ta 0.3325 0.6675 0.2474  3 W 2.77, 5 Os 2.77-2.79
4 Ta 0.3325 0.6675 0.7526  3 W 2.77, 5 Os 2.77-2.79
5 Ta 0.6675 0.3325 0.2474  3 W 2.77, 5 Os 2.77-2.79
6 Ta 0.6675 0.3325 0.7526  3 W 2.77, 5 Os 2.77-2.79
7 Os 0.1663 0.8337 0.5000  8 Ta 2.78
8 Os 0.5000 0.5000 0.0000  8 Ta 2.77
9 Os 0.5000 0.5000 0.5000  8 Ta 2.78-2.79
10 Os 0.8337 0.1663 0.5000  8 Ta 2.78
11 W 0.1655 0.8345 0.0000  8 Ta 2.75-2.77
12 W 0.8345 0.1655 0.0000  8 Ta 2.75-2.77


<two>
Below is a relaxed structure of Ta3Os2W, with properties calculated at the PBE level.

Summary:
Calculated volume, Å³ per cell: 98.82
Symmetry: P4/mmm
Size of the total moment, μB/f.u.: 0.00

Lattice parameters (Å, degrees): 3.2055 3.2055 9.6175 90.00 90.00 90.00
Closest atoms and distances in Å follow each position.
Atoms (fractional coordinates):
1 Ta 0.0000 0.0000 0.0000  8 Os 2.76
2 Ta 0.0000 0.0000 0.3359  4 W 2.76, 4 Os 2.81
3 Ta 0.0000 0.0000 0.6641  4 W 2.76, 4 Os 2.81
4 Os 0.5000 0.5000 0.1631  8 Ta 2.76-2.81
5 Os 0.5000 0.5000 0.8369  8 Ta 2.76-2.81
6 W 0.5000 0.5000 0.5000  8 Ta 2.76


Energy above the most stable structure, in meV per atom: <one> 0; <two> 29


<one>
Below is a relaxed structure of Ta3OsW2, with properties calculated at the PBE level.

Summary:
Calculated volume, Å³ per cell: 100.57
Symmetry: P4/mmm
Size of the total moment, μB/f.u.: 0.00

Lattice parameters (Å, degrees): 3.2170 3.2170 9.7172 90.00 90.00 90.00
Closest atoms and distances in Å follow each position.
Atoms (fractional coordinates):
1 Ta 0.0000 0.0000 0.0000  8 W 2.80
2 Ta 0.0000 0.0000 0.3335  4 W 2.78, 4 Os 2.79
3 Ta 0.0000 0.0000 0.6665  4 W 2.78, 4 Os 2.79
4 Os 0.5000 0.5000 0.5000  8 Ta 2.79
5 W 0.5000 0.5000 0.1688  8 Ta 2.78-2.80
6 W 0.5000 0.5000 0.8312  8 Ta 2.78-2.80


<two>
Below is a relaxed structure of Ta3OsW2, with properties calculated at the PBE level.

Summary:
Calculated volume, Å³ per cell: 200.88
Symmetry: Cmmm
Size of the total moment, μB/f.u.: 0.00

Lattice parameters (Å, degrees): 7.2032 7.2032 6.4446 90.00 90.00 143.08
Closest atoms and distances in Å follow each position.
Atoms (fractional coordinates):
1 Ta 0.0000 0.0000 0.2496  2 Os 2.79, 6 W 2.79-2.80
2 Ta 0.0000 0.0000 0.7504  2 Os 2.79, 6 W 2.79-2.80
3 Ta 0.3330 0.6670 0.2497  5 W 2.78-2.79, 3 Os 2.78-2.79
4 Ta 0.3330 0.6670 0.7503  5 W 2.78-2.79, 3 Os 2.78-2.79
5 Ta 0.6670 0.3330 0.2497  5 W 2.78-2.79, 3 Os 2.78-2.79
6 Ta 0.6670 0.3330 0.7503  5 W 2.78-2.79, 3 Os 2.78-2.79
7 Os 0.1669 0.8331 0.0000  8 Ta 2.78-2.79
8 Os 0.8331 0.1669 0.0000  8 Ta 2.78-2.79
9 W 0.1671 0.8329 0.5000  8 Ta 2.78-2.80
10 W 0.5000 0.5000 0.0000  8 Ta 2.79
11 W 0.5000 0.5000 0.5000  8 Ta 2.79
12 W 0.8329 0.1671 0.5000  8 Ta 2.78-2.80


Energy above the most stable structure, in meV per atom: <one> 23; <two> 0


<one>
Below is a relaxed structure of Ta4OsW, with properties calculated at the PBE level.

Summary:
Calculated volume, Å³ per cell: 267.99
Symmetry: Cmmm
Size of the total moment, μB/f.u.: 0.00

Lattice parameters (Å, degrees): 7.8283 7.9697 4.2955 90.00 90.00 90.00
Closest atoms and distances in Å follow each position.
Atoms (fractional coordinates):
1 Ta 0.0000 0.1810 0.0000  1 W 2.54, 2 Os 2.59
2 Ta 0.0000 0.8190 0.0000  1 W 2.54, 2 Os 2.59
3 Ta 0.1847 0.5000 0.5000  1 Os 2.47, 2 W 2.59
4 Ta 0.3153 0.0000 0.5000  1 Os 2.47, 2 W 2.59
5 Ta 0.5000 0.3190 0.0000  1 W 2.54, 2 Os 2.59
6 Ta 0.5000 0.6810 0.0000  1 W 2.54, 2 Os 2.59
7 Ta 0.6847 0.0000 0.5000  1 Os 2.47, 2 W 2.59
8 Ta 0.8153 0.5000 0.5000  1 Os 2.47, 2 W 2.59
9 Os 0.0000 0.0000 0.5000  6 Ta 2.47-2.59
10 Os 0.5000 0.5000 0.5000  6 Ta 2.47-2.59
11 W 0.0000 0.5000 0.0000  6 Ta 2.54-2.59
12 W 0.5000 0.0000 0.0000  6 Ta 2.54-2.59


<two>
Below is a relaxed structure of Ta4OsW, with properties calculated at the PBE level.

Summary:
Calculated volume, Å³ per cell: 106.37
Symmetry: F-43m
Size of the total moment, μB/f.u.: 0.00

Lattice parameters (Å, degrees): 5.3184 5.3184 5.3184 60.00 60.00 60.00
Closest atoms and distances in Å follow each position.
Atoms (fractional coordinates):
1 Ta 0.1248 0.1248 0.1248  6 Ta 2.65-2.66
2 Ta 0.1248 0.1248 0.6256  6 Ta 2.65-2.66
3 Ta 0.1248 0.6256 0.1248  6 Ta 2.65-2.66
4 Ta 0.6256 0.1248 0.1248  6 Ta 2.65-2.66
5 Os 0.5000 0.5000 0.5000  12 Ta 3.12, 4 W 3.26
6 W 0.7500 0.7500 0.7500  12 Ta 3.12, 4 Os 3.26


Energy above the most stable structure, in meV per atom: <one> 705; <two> 0